Cd2TcSe | PBE-GGA | relaxed

The formation energy without anion corrections comes out at 0.44 eV/atom.

It has space group I4/mmm (No. 139), with a = 3.9841 Å, b = 3.9841 Å, c = 9.7213 Å, α = 90.00°, β = 90.00° and γ = 90.00°. Symmetry generates all atoms from Cd at (0.0000, 0.5000, 0.2500), Tc at (0.0000, 0.0000, 0.0000) and Se at (0.0000, 0.0000, 0.5000).